Compound: NaTcNi
Source: Alexandria via LeMat-Bulk
Functional: PBE-GGA
Structure: relaxed

Cell and atoms, written as CIF:
```
data_NaTcNi
_chemical_formula_sum 'Na1 Tc1 Ni1'
_symmetry_space_group_name_H-M 'P 1'
_symmetry_Int_Tables_number 1
_symmetry_space_group_name_Hall 'P 1'
_cell_length_a 3.9158
_cell_length_b 3.9158
_cell_length_c 4.5829
_cell_angle_alpha 90.00
_cell_angle_beta 90.00
_cell_angle_gamma 120.00
loop_
_atom_site_label
_atom_site_fract_x
_atom_site_fract_y
_atom_site_fract_z
Ni1 0.3333 0.6667 0.0000
Tc1 0.0000 0.0000 0.0000
Na1 0.6667 0.3333 0.5000
```

Calculated values
E above lowest polymorph = 817.7 meV/atom
Formation energy = 1.06 eV per atom
Magnetic moment = 0.00 μB per formula unit